Density functional theory data (PBE) for crystalline LaPIrO at its relaxed geometry.

a b c (Å): 4.0124 4.0124 8.5891
angles (deg): 90.00 90.00 90.00
Last column: nearest neighbours and their distance in Å.
Fractional coordinates of all 8 atoms:
1 La 0.0000 0.0000 0.0000  4 O 2.36
2 La 0.5000 0.5000 0.2901  4 O 2.36
3 P 0.0000 0.0000 0.4958  4 Ir 2.38
4 P 0.5000 0.5000 0.7957  4 Ir 2.38
5 Ir 0.0000 0.5000 0.6459  4 P 2.38
6 Ir 0.5000 0.0000 0.6459  4 P 2.38
7 O 0.0000 0.5000 0.1448  4 La 2.36
8 O 0.5000 0.0000 0.1448  4 La 2.36

E above lowest polymorph, eV/atom: 0.001